DFT (PBE-GGA) results for crystalline PmEr2Th at its relaxed geometry.

```
PmEr2Th
1.0
-1.285 -0.457 -3.303
2.009 -1.582 -2.496
-4.004 -10.911 1.133
Pm Er Th
1 2 1
direct
0.500 0.500 0.500
0.748 0.748 0.756
0.252 0.252 0.244
0.000 0.000 0.000
```

Results
Spin magnetization (μB per atom): 0.00
Total DFT energy (no corrections) (eV per cell): -21.2
Energy of formation (eV per atom): 0.0157
ΔE to the lowest computed polymorph (meV per atom): 3